An optimized crystal structure of FeCo2Ru, computed with PBE-GGA.

abc: 3.580 3.580 7.217
angles: 90.00 90.00 90.00
Space group I4/mmm (No. 139)
Asymmetric unit:
1 Fe 0.000 0.000 0.000 (multiplicity 2)
2 Co 0.000 0.500 0.250 (multiplicity 4)
3 Ru 0.000 0.000 0.500 (multiplicity 2)

Results
**Density**: 9.86 Mg/m³
**V**: 11.564 A^3/atom
**Distance to the lowest polymorph of the same formula**: 0.0 meV per atom
**Magnetic moment**: 3.1 μB/f.u.
**ΔH_f (0 K)**: 0.111 eV per atom